A plane-wave DFT calculation with PBE was carried out for a relaxed structure of Ac4OsPt2.

The formation energy comes out at -4.4 eV/f.u.

It has space group C2/m (No. 12), with a = 15.589 Å, b = 4.511 Å, c = 7.488 Å, α = 90.00°, β = 118.19° and γ = 90.00°. The inequivalent atoms are Ac at (0.120, 0.000, 0.278), Ac at (0.128, 0.500, 0.800), Os at (0.000, 0.500, 0.000) and Pt at (0.249, 0.000, 0.749).

***

A plane-wave DFT calculation with PBE was carried out for a relaxed structure of CuHg2Ru.

For the polymorph energy (0 for the lowest one), the calculation gives 55 meV per atom. The formation energy comes out at 1.8 eV/f.u.

It has space group P4/mmm (No. 123), with a = 3.053 Å, b = 3.053 Å, c = 7.357 Å, α = 90.00°, β = 90.00° and γ = 90.00°. The inequivalent atoms are Cu at (0.000, 0.000, 0.000), Hg at (0.500, 0.500, 0.241) and Ru at (0.000, 0.000, 0.500).

***

A plane-wave DFT calculation with PBE was carried out for a relaxed structure of LiNb4Rh5.

The formation energy comes out at -3.8 eV/f.u.

It has space group P4/mmm (No. 123), with a = 2.910 Å, b = 2.910 Å, c = 18.082 Å, α = 90.00°, β = 90.00° and γ = 90.00°. The inequivalent atoms are Li at (0.000, 0.000, 0.000), Nb at (0.000, 0.000, 0.181), Nb at (0.000, 0.000, 0.394), Rh at (0.500, 0.500, 0.083), Rh at (0.500, 0.500, 0.287) and Rh at (0.500, 0.500, 0.500).

***

A plane-wave DFT calculation with PBE was carried out for a relaxed structure of Pu2BeZnPt6.

The formation energy comes out at -3.6 eV/f.u.

It has space group Fm-3m (No. 225), with a = 9.073 Å, b = 9.073 Å, c = 9.073 Å, α = 90.00°, β = 90.00° and γ = 90.00°. The inequivalent atoms are Pu at (0.250, 0.250, 0.250), Be at (0.000, 0.000, 0.000), Zn at (0.000, 0.000, 0.500) and Pt at (0.000, 0.000, 0.235).

***

A plane-wave DFT calculation with PBE was carried out for a relaxed structure of Ba2SbPd2.

For the polymorph energy (0 for the lowest one), the calculation gives 527 meV per atom. For the uncorrected formation energy, the calculation gives -0.21 eV/atom.

It has space group P4/mbm (No. 127), with a = 9.251 Å, b = 9.251 Å, c = 3.897 Å, α = 90.00°, β = 90.00° and γ = 90.00°. The inequivalent atoms are Ba at (0.175, 0.325, 0.000), Sb at (0.000, 0.000, 0.000) and Pd at (0.103, 0.603, 0.500).

***

A plane-wave DFT calculation with PBE was carried out for a relaxed structure of Tb4Si.

For the uncorrected formation energy, the calculation gives 0.02 eV/atom.

It has space group Pm-3m (No. 221), with a = 5.504 Å, b = 5.504 Å, c = 5.504 Å, α = 90.00°, β = 90.00° and γ = 90.00°. The inequivalent atoms are Tb at (0.000, 0.000, 0.000), Tb at (0.000, 0.500, 0.500) and Si at (0.500, 0.500, 0.500).

***

A plane-wave DFT calculation with PBE was carried out for a relaxed structure of RbGa2SnO6.

For the uncorrected formation energy, the calculation gives -1.46 eV/atom.

It has space group C2/c (No. 15), with a = 9.105 Å, b = 12.508 Å, c = 6.530 Å, α = 90.00°, β = 112.90° and γ = 90.00°. The inequivalent atoms are Rb at (0.000, 0.102, 0.250), Ga at (0.126, 0.418, 0.134), Sn at (0.000, 0.203, 0.750), O at (0.068, 0.280, 0.033), O at (0.104, 0.469, 0.414) and O at (0.153, 0.094, 0.730).

***

A plane-wave DFT calculation with PBE was carried out for a relaxed structure of Rb2LaNb5O15.

For the uncorrected formation energy, the calculation gives -2.65 eV/atom.

It has space group P4/mbm (No. 127), with a = 12.867 Å, b = 12.867 Å, c = 3.982 Å, α = 90.00°, β = 90.00° and γ = 90.00°. The inequivalent atoms are Rb at (0.172, 0.328, 0.000), La at (0.000, 0.000, 0.000), Nb at (0.000, 0.500, 0.500), Nb at (0.075, 0.786, 0.500), O at (0.000, 0.344, 0.500), O at (0.000, 0.500, 0.000), O at (0.061, 0.133, 0.500), O at (0.077, 0.808, 0.000) and O at (0.212, 0.712, 0.500).

***

A plane-wave DFT calculation with PBE was carried out for a relaxed structure of Sm12Dy6Y.

For the polymorph energy (0 for the lowest one), the calculation gives 0 meV per atom. The formation energy comes out at 2.7 eV/f.u.

It has space group R-3 (No. 148, hexagonal axes), with a = 12.0780 Å, b = 12.0780 Å, c = 15.2262 Å, α = 90.00°, β = 90.00° and γ = 120.00°. The inequivalent atoms are Sm at (0.0057, 0.8303, 0.1912), Sm at (0.0451, 0.8500, 0.4165), Dy at (0.0133, 0.4250, 0.6855) and Y at (0.0000, 0.0000, 0.0000).

***

| no. | VASP energy (eV per atom) |
| --- | --- |
| 1 | -6.30 |
| 2 | -3.05 |
| 3 | -8.28 |
| 4 | -7.35 |
| 5 | -3.88 |
| 6 | -4.77 |
| 7 | -5.54 |
| 8 | -8.37 |
| 9 | -4.63 |